Below is a relaxed structure of Bi2TePd2, with properties calculated at the PBE level.

Lattice parameters (Å, degrees): 8.621 8.621 3.274 90.00 90.00 90.00
Sites, in units of the cell vectors:
Bi: 0.167 0.333 0.000
Bi: 0.333 0.833 0.000
Bi: 0.667 0.167 0.000
Bi: 0.833 0.667 0.000
Te: 0.000 0.000 0.000
Te: 0.500 0.500 0.000
Pd: 0.117 0.617 0.500
Pd: 0.383 0.117 0.500
Pd: 0.617 0.883 0.500
Pd: 0.883 0.383 0.500

Values from the calculation:
- Total energy: -4.305 eV per atom
- E above lowest polymorph: 229 meV per atom
- Total magnetization: 0.0 μB/f.u.
- Space group: P4/mbm, No. 127
- Fermi-level density of states: 0.38 states/eV/atom